A plane-wave DFT calculation with PBE was carried out for a relaxed structure of Li2YTc.

- energy (eV per atom) = -4.577
- relative energy among the computed polymorphs (meV per atom) = 326
- SG = R-3m (166)
- energy of formation (meV/atom) = 587

abc: 10.5222 10.5222 10.5222
angles: 15.97 15.97 15.97
Site moments in Bohr magnetons follow the coordinates.
Atoms (fractional coordinates):
Li (0.9893, 0.9893, 0.9893)  0.00
Li (0.5107, 0.5107, 0.5107)  0.00
Tc (0.2500, 0.2500, 0.2500)  0.68
Y (0.7500, 0.7500, 0.7500)  0.03

=====

A plane-wave DFT calculation with PBE was carried out for a relaxed structure of LiYTc2.

- energy (eV per atom) = -6.612
- relative energy among the computed polymorphs (meV per atom) = 541
- SG = R-3m (166)
- energy of formation (meV/atom) = 665

abc: 10.0287 10.0287 10.0287
angles: 16.32 16.32 16.32
Site moments in Bohr magnetons follow the coordinates.
Atoms (fractional coordinates):
Li (0.7500, 0.7500, 0.7500)  0.00
Tc (0.0051, 0.0051, 0.0051)  0.27
Tc (0.4949, 0.4949, 0.4949)  0.27
Y (0.2500, 0.2500, 0.2500)  0.01

=====

A plane-wave DFT calculation with PBE was carried out for a relaxed structure of LiYTc2.

- energy (eV per atom) = -6.752
- relative energy among the computed polymorphs (meV per atom) = 401
- SG = Cmmm (65)
- energy of formation (meV/atom) = 526

abc: 2.7882 2.7882 9.3174
angles: 90.00 90.00 109.66
Atoms (fractional coordinates):
Li (0.5000, 0.5000, 0.7500)
Tc (0.0000, 0.0000, 0.9883)
Tc (0.0000, 0.0000, 0.5117)
Y (0.5000, 0.5000, 0.2500)